DFT (PBE) results for an optimized crystal structure of ZrTcSb2.

The value obtained for the excess energy over the best structure of this formula in the dataset is 285 meV/atom. As for the formation energy from raw total energies: 0.047 eV/atom. For the density, the calculation gives 8.5 g/cm3. The energy comes out at -6.74 eV/atom.

It has space group Immm (No. 71), with a = 3.283 Å, b = 5.435 Å, c = 9.479 Å, α = 90.00°, β = 90.00° and γ = 90.00°. Symmetry generates all atoms from Zr at (0.000, 0.000, 0.000), Tc at (0.000, 0.000, 0.500) and Sb at (0.000, 0.500, 0.222).


DFT (PBE) results for an optimized crystal structure of CaSmCu2Ge2.

The formation energy comes out at -0.570 eV/atom. For the density, the calculation gives 6.2 g/cm3. The energy comes out at -4.59 eV/atom.

It has space group P-3m1 (No. 164), with a = 4.2329 Å, b = 4.2329 Å, c = 7.9662 Å, α = 90.00°, β = 90.00° and γ = 120.00°. Symmetry generates all atoms from Ca at (0.0000, 0.0000, 0.0000), Sm at (0.0000, 0.0000, 0.5000), Cu at (0.3333, 0.6667, 0.7486) and Ge at (0.3333, 0.6667, 0.2582).


DFT (PBE) results for an optimized crystal structure of NaTlPSe4.

As for the formation energy from raw total energies: -0.362 eV/atom. For the density, the calculation gives 4.6 g/cm3. The energy comes out at -3.65 eV/atom.

It has space group P2_1/m (No. 11), with a = 7.577 Å, b = 6.028 Å, c = 9.375 Å, α = 90.00°, β = 102.81° and γ = 90.00°. Symmetry generates all atoms from Na at (0.233, 0.250, 0.437), Tl at (0.257, 0.250, 0.955), P at (0.262, 0.750, 0.679), Se at (0.080, 0.750, 0.832), Se at (0.133, 0.750, 0.448) and Se at (0.487, 0.007, 0.735).


DFT (PBE) results for an optimized crystal structure of ZnCo6Re.

The formation energy comes out at 0.045 eV/atom. For the density, the calculation gives 11.0 g/cm3. The energy comes out at -7.00 eV/atom.

It has space group Cmmm (No. 65), with a = 7.153 Å, b = 10.099 Å, c = 10.123 Å, α = 90.00°, β = 90.00° and γ = 90.00°. Symmetry generates all atoms from Zn at (0.000, 0.000, 0.248), Zn at (0.000, 0.251, 0.500), Co at (0.000, 0.000, 0.000), Co at (0.000, 0.000, 0.500), Co at (0.000, 0.252, 0.247), Co at (0.000, 0.500, 0.000), Co at (0.000, 0.500, 0.500), Co at (0.247, 0.374, 0.123), Co at (0.250, 0.124, 0.375), Re at (0.000, 0.252, 0.000) and Re at (0.000, 0.500, 0.254).


DFT (PBE) results for an optimized crystal structure of K2CdHg.

The formation energy comes out at -0.157 eV/atom. For the density, the calculation gives 4.0 g/cm3. The energy comes out at -1.01 eV/atom.

It has space group Pm (No. 6), with a = 4.953 Å, b = 5.182 Å, c = 6.833 Å, α = 90.00°, β = 110.92° and γ = 90.00°. Symmetry generates all atoms from K at (0.000, 0.000, 0.000), K at (0.294, 0.500, 0.594), Cd at (0.590, 0.500, 0.180) and Hg at (0.706, 0.000, 0.418).


DFT (PBE) results for an optimized crystal structure of Cs2S2O5.

As for the formation energy from raw total energies: -1.106 eV/atom. For the density, the calculation gives 3.4 g/cm3. The energy comes out at -4.97 eV/atom.

It has space group C2/m (No. 12), with a = 12.575 Å, b = 5.299 Å, c = 6.606 Å, α = 90.00°, β = 114.72° and γ = 90.00°. Symmetry generates all atoms from Cs at (0.092, 0.000, 0.317), S at (0.164, 0.500, 0.891), O at (0.000, 0.500, 0.000), O at (0.150, 0.500, 0.653) and O at (0.210, 0.000, 0.946).